The following is a PBE-GGA calculation of crystalline Zr2TaC at its relaxed geometry, from the Alexandria database.

The structure belongs to space group R3m (No. 160, hexagonal axes); the cell edges are 3.1894, 3.1894 and 23.8683 Å and the angles 90.00°, 90.00° and 120.00°. Symmetry generates all atoms from Zr at (0.0000, 0.0000, 0.0000), Zr at (0.0000, 0.0000, 0.2168), Ta at (0.0000, 0.0000, 0.7751) and C at (0.0000, 0.0000, 0.4918).

For the calculated density, the calculation gives 8.89 g cm⁻³. Its formation energy is -364 meV per atom.

---

The following is a PBE-GGA calculation of crystalline Zr2TaC at its relaxed geometry, from the Alexandria database.

The structure belongs to space group I4/mmm (No. 139); the cell edges are 3.964, 3.964 and 8.668 Å and the angles 90.00°, 90.00° and 90.00°. Symmetry generates all atoms from Zr at (0.000, 0.500, 0.250), Ta at (0.000, 0.000, 0.000) and C at (0.000, 0.000, 0.500).

For the calculated density, the calculation gives 9.15 g cm⁻³. Its formation energy is 972 meV per atom.

---

The following is a PBE-GGA calculation of crystalline Zr2TaC at its relaxed geometry, from the Alexandria database.

The structure belongs to space group Cmmm (No. 65); the cell edges are 3.435, 5.026 and 7.936 Å and the angles 90.00°, 90.00° and 90.00°. Symmetry generates all atoms from Zr at (0.000, 0.000, 0.193), Ta at (0.000, 0.500, 0.500) and C at (0.000, 0.500, 0.000).

For the calculated density, the calculation gives 9.10 g cm⁻³. Its formation energy is 81 meV per atom.